1.
Here is a relaxed structure of NaSm3Rh8 from the Alexandria database. Energies are from PBE.

Cell: 9.314 9.314 9.314 Å, 33.37 33.37 33.37°
Positions (direct):
Na 0.000 0.000 0.000
Sm 0.368 0.368 0.368
Sm 0.497 0.497 0.497
Sm 0.879 0.879 0.879
Rh 0.186 0.186 0.186
Rh 0.436 0.436 0.933
Rh 0.436 0.933 0.436
Rh 0.437 0.936 0.936
Rh 0.686 0.686 0.686
Rh 0.933 0.436 0.436
Rh 0.936 0.437 0.936
Rh 0.936 0.936 0.437

Summary:
* energy of formation from the pure elements: -6.2 eV per formula unit
* final energy: -80.5 eV per cell
* size of the total moment: 0.00 μB per atom
* volume: 218 Å³/cell

=====

2.
Here is a relaxed structure of NaSm2Rh from the Alexandria database. Energies are from PBE.

Cell: 4.022 4.022 31.583 Å, 90.00 90.00 120.00°
Positions (direct):
Na 0.000 0.000 0.000
Na 0.333 0.667 0.667
Na 0.667 0.333 0.333
Sm 0.000 0.000 0.118
Sm 0.000 0.000 0.882
Sm 0.333 0.667 0.548
Sm 0.333 0.667 0.785
Sm 0.667 0.333 0.215
Sm 0.667 0.333 0.452
Rh 0.000 0.000 0.500
Rh 0.333 0.667 0.167
Rh 0.667 0.333 0.833

Summary:
* energy of formation from the pure elements: -1.0 eV per formula unit
* final energy: -57.5 eV per cell
* size of the total moment: 0.00 μB per atom
* ΔE to the lowest computed polymorph: 42 meV/atom
* volume: 442 Å³/cell

=====

3.
Here is a relaxed structure of NaSm3Rh from the Alexandria database. Energies are from PBE.

Cell: 5.558 5.558 5.558 Å, 90.00 90.00 90.00°
Positions (direct):
Na 0.000 0.000 0.000
Sm 0.000 0.500 0.500
Sm 0.500 0.000 0.500
Sm 0.500 0.500 0.000
Rh 0.500 0.500 0.500

Summary:
* energy of formation from the pure elements: -0.8 eV per formula unit
* final energy: -23.7 eV per cell
* size of the total moment: 0.00 μB per atom
* volume: 172 Å³/cell

=====

4.
Here is a relaxed structure of NaSm2Rh from the Alexandria database. Energies are from PBE.

Cell: 3.527 3.527 9.404 Å, 90.00 90.00 90.00°
Positions (direct):
Na 0.000 0.000 0.000
Sm 0.500 0.500 0.324
Sm 0.500 0.500 0.676
Rh 0.000 0.000 0.500

Summary:
* energy of formation from the pure elements: -1.2 eV per formula unit
* final energy: -19.3 eV per cell
* size of the total moment: 0.00 μB per atom
* ΔE to the lowest computed polymorph: 0 meV/atom
* volume: 117 Å³/cell

=====

5.
Here is a relaxed structure of NaSmRh from the Alexandria database. Energies are from PBE.

Cell: 9.212 9.191 4.062 Å, 77.54 76.96 25.50°
Positions (direct):
Na 0.243 0.757 0.243
Na 0.757 0.243 0.757
Sm 0.317 0.317 0.683
Sm 0.683 0.683 0.317
Rh 0.152 0.152 0.848
Rh 0.848 0.848 0.152

Summary:
* energy of formation from the pure elements: -0.8 eV per formula unit
* final energy: -28.5 eV per cell
* size of the total moment: 0.00 μB per atom
* volume: 144 Å³/cell

=====

6.
Here is a relaxed structure of NaSnRh from the Alexandria database. Energies are from PBE.

Cell: 4.386 4.386 7.137 Å, 90.00 90.00 90.00°
Positions (direct):
Na 0.250 0.250 0.173
Na 0.750 0.750 0.827
Sn 0.250 0.250 0.707
Sn 0.750 0.750 0.293
Rh 0.250 0.750 0.500
Rh 0.750 0.250 0.500

Summary:
* energy of formation from the pure elements: -1.1 eV per formula unit
* final energy: -27.6 eV per cell
* size of the total moment: 0.00 μB per atom
* volume: 137 Å³/cell